--- i ---
Entry from Alexandria via LeMat-Bulk: an optimized crystal structure of Tb3Nd3Mg (PBE).

Cell and atoms, written as POSCAR:
```
Tb3Nd3Mg
1.0
5.684 0.000 0.000
0.000 9.600 -0.012
0.000 -4.792 8.320
Tb Nd Mg
6 6 2
Cartesian
4.263 3.418 6.789 Tb
4.263 -0.620 1.964 Tb
4.263 -2.783 7.876 Tb
1.421 1.389 1.518 Tb
1.421 5.427 6.343 Tb
1.421 7.590 0.431 Tb
1.421 2.048 5.231 Nd
1.421 -1.286 3.927 Nd
1.421 -0.750 7.467 Nd
4.263 2.760 3.076 Nd
4.263 6.093 4.380 Nd
4.263 5.557 0.840 Nd
4.263 0.005 5.544 Mg
1.421 4.803 2.763 Mg
```

Calculated values
D(E_F) ... 21.8 states/eV per cell



--- ii ---
Entry from Alexandria via LeMat-Bulk: an optimized crystal structure of Tb3Nd3Mg (PBE).

Cell and atoms, written as POSCAR:
```
Tb3Nd3Mg
1.0
-4.116 2.570 -3.958
-5.997 0.628 1.690
-0.535 13.814 4.572
Tb Nd Mg
6 6 2
Cartesian
-6.241 6.551 2.490 Tb
-3.614 6.990 0.040 Tb
-6.989 8.056 -0.714 Tb
-3.659 8.955 3.018 Tb
-7.034 10.021 2.263 Tb
-4.407 10.461 -0.187 Tb
-5.566 5.235 -2.368 Nd
-8.195 4.799 0.076 Nd
-4.825 3.732 0.835 Nd
-5.823 13.280 1.468 Nd
-2.453 12.213 2.227 Nd
-5.081 11.776 4.671 Nd
-6.742 2.132 -1.512 Mg
-3.906 14.879 3.816 Mg
```

Calculated values
D(E_F) ... 19.6 states/eV per cell



Stability summary: most stable i, least stable ii.



--- i ---
Entry from Alexandria via LeMat-Bulk: an optimized crystal structure of Tb6NdMg (PBE).

Cell and atoms, written as POSCAR:
```
Tb6NdMg
1.0
-4.817 0.528 7.069
-8.406 -0.630 -1.574
-4.541 -3.782 2.391
Tb Nd Mg
6 1 1
Cartesian
-12.231 -2.906 7.976 Tb
-7.370 -2.390 7.038 Tb
-5.384 -0.842 3.493 Tb
-10.394 -1.493 0.848 Tb
-5.533 -0.977 -0.091 Tb
-12.380 -3.041 4.393 Tb
-8.882 -1.942 3.943 Nd
0.000 0.000 0.000 Mg
```

Calculated values
D(E_F) ... 12.3 states/eV per cell



--- ii ---
Entry from Alexandria via LeMat-Bulk: an optimized crystal structure of Tb6NdMg (PBE).

Cell and atoms, written as POSCAR:
```
Tb6NdMg
1.0
4.850 0.000 1.324
2.222 5.543 1.405
0.059 -0.040 9.327
Tb Nd Mg
6 1 1
Cartesian
3.184 4.810 7.426 Tb
3.022 1.315 8.018 Tb
2.057 2.145 2.011 Tb
4.109 4.188 4.038 Tb
3.947 0.693 4.630 Tb
5.074 3.358 10.045 Tb
1.141 2.752 5.366 Nd
0.000 0.000 0.000 Mg
```

Calculated values
D(E_F) ... 12.1 states/eV per cell



Stability summary: most stable ii, least stable i.



--- i ---
Entry from Alexandria via LeMat-Bulk: an optimized crystal structure of Tb6Nd2Mg (PBE).

Cell and atoms, written as POSCAR:
```
Tb6Nd2Mg
1.0
-3.019 4.053 -4.153
-5.491 -8.484 -10.479
-5.754 -2.120 2.278
Tb Nd Mg
12 4 2
Cartesian
-5.295 -3.824 -4.857 Tb
-6.654 0.542 -1.243 Tb
-8.969 -2.727 -7.496 Tb
-7.610 -7.093 -11.110 Tb
-4.138 -1.441 0.102 Tb
-8.692 -3.831 -4.129 Tb
-10.126 -5.110 -12.455 Tb
-5.572 -2.720 -8.224 Tb
-10.402 -8.990 -7.157 Tb
-8.992 -7.187 -4.827 Tb
-3.862 2.439 -5.196 Tb
-5.272 0.636 -7.526 Tb
-7.145 -5.729 -7.371 Nd
-10.336 -6.129 -9.112 Nd
-7.119 -0.822 -4.982 Nd
-3.928 -0.422 -3.241 Nd
-7.843 -3.904 -10.352 Mg
-6.420 -2.647 -2.001 Mg
```

Calculated values
D(E_F) ... 25.5 states/eV per cell



--- ii ---
Entry from Alexandria via LeMat-Bulk: an optimized crystal structure of Tb6Nd2Mg (PBE).

Cell and atoms, written as POSCAR:
```
Tb6Nd2Mg
1.0
-4.056 2.333 1.922
1.698 -4.754 9.357
6.122 8.148 3.029
Tb Nd Mg
12 4 2
Cartesian
2.714 -3.397 9.854 Tb
0.131 3.234 9.667 Tb
2.173 5.942 10.689 Tb
2.343 5.810 4.551 Tb
-1.742 0.382 2.518 Tb
0.863 1.513 6.644 Tb
1.049 9.124 4.454 Tb
3.632 2.493 4.640 Tb
1.590 -0.215 3.618 Tb
1.420 -0.083 9.756 Tb
5.505 5.345 11.789 Tb
2.900 4.215 7.663 Tb
5.684 5.214 5.670 Nd
3.458 2.609 10.791 Nd
0.305 3.118 3.517 Nd
-1.921 0.514 8.637 Nd
-1.179 -1.210 5.639 Mg
3.061 4.074 1.515 Mg
```

Calculated values
D(E_F) ... 25.0 states/eV per cell



Stability summary: most stable ii, least stable i.



--- i ---
Entry from Alexandria via LeMat-Bulk: an optimized crystal structure of Tb5Nd4Mg (PBE).

Cell and atoms, written as POSCAR:
```
Tb5Nd4Mg
1.0
-4.364 -2.563 2.898
-1.312 -7.541 -2.776
2.785 -4.011 6.516
Tb Nd Mg
5 4 1
Cartesian
-1.045 -8.765 7.710 Tb
-0.152 -10.418 1.724 Tb
-2.314 -3.448 4.631 Tb
-1.422 -5.101 -1.354 Tb
-2.893 -1.699 1.921 Tb
-0.543 -6.322 4.915 Nd
-2.407 -9.892 4.820 Nd
-0.176 -4.043 1.614 Nd
-2.041 -7.613 1.519 Nd
-0.799 -0.469 0.530 Mg
```

Calculated values
D(E_F) ... 12.0 states/eV per cell



--- ii ---
Entry from Alexandria via LeMat-Bulk: an optimized crystal structure of Tb5Nd4Mg (PBE).

Cell and atoms, written as POSCAR:
```
Tb5Nd4Mg
1.0
4.171 0.000 0.000
0.000 4.171 0.000
0.000 0.000 18.651
Tb Nd Mg
5 4 1
Cartesian
2.085 2.085 1.722 Tb
2.085 2.085 5.520 Tb
2.085 2.085 9.325 Tb
2.085 2.085 13.131 Tb
2.085 2.085 16.929 Tb
0.000 0.000 3.741 Nd
0.000 0.000 7.427 Nd
0.000 0.000 11.224 Nd
0.000 0.000 14.910 Nd
0.000 0.000 0.000 Mg
```

Calculated values
D(E_F) ... 17.8 states/eV per cell



Stability summary: most stable ii, least stable i.



--- i ---
Entry from Alexandria via LeMat-Bulk: an optimized crystal structure of TbNdTmMg (PBE).

Cell and atoms, written as POSCAR:
```
TbNdTmMg
1.0
-1.589 3.432 4.046
-5.131 2.085 0.006
-3.672 -1.693 3.784
Nd Mg Tm Tb
1 1 1 1
Cartesian
-7.794 2.868 5.877 Nd
0.000 0.000 0.000 Mg
-5.196 1.912 3.918 Tm
-2.598 0.956 1.959 Tb
```

Calculated values
D(E_F) ... 4.4 states/eV per cell



--- ii ---
Entry from Alexandria via LeMat-Bulk: an optimized crystal structure of TbNdTmMg (PBE).

Cell and atoms, written as POSCAR:
```
TbNdTmMg
1.0
3.641 0.000 0.000
0.000 3.641 0.000
0.000 0.000 9.095
Tb Nd Tm Mg
1 1 1 1
Cartesian
1.820 1.820 7.257 Tb
0.000 0.000 0.674 Nd
1.820 1.820 3.140 Tm
0.000 0.000 5.161 Mg
```

Calculated values
D(E_F) ... 4.5 states/eV per cell



Stability summary: most stable ii, least stable i.



--- i ---
Entry from Alexandria via LeMat-Bulk: an optimized crystal structure of TbNdYMg (PBE).

Cell and atoms, written as POSCAR:
```
TbNdYMg
1.0
3.699 0.000 0.000
0.000 3.699 0.000
0.000 0.000 8.976
Tb Nd Y Mg
1 1 1 1
Cartesian
1.849 1.849 3.130 Tb
0.000 0.000 0.649 Nd
1.849 1.849 7.112 Y
0.000 0.000 5.129 Mg
```

Calculated values
D(E_F) ... 5.5 states/eV per cell



--- ii ---
Entry from Alexandria via LeMat-Bulk: an optimized crystal structure of TbNdYMg (PBE).

Cell and atoms, written as POSCAR:
```
TbNdYMg
1.0
-4.122 1.281 -3.531
-1.193 -3.411 -4.248
-4.727 -2.958 0.042
Y Nd Mg Tb
1 1 1 1
Cartesian
-2.511 -1.272 -1.934 Y
-7.532 -3.816 -5.803 Nd
0.000 0.000 0.000 Mg
-5.021 -2.544 -3.868 Tb
```

Calculated values
D(E_F) ... 5.9 states/eV per cell



Stability summary: most stable i, least stable ii.